(1)
Pm2Pr2Y2Er: relaxed, PBE.

The space group is R-3m (No. 166, hexagonal axes) and the conventional cell measures 5.7570, 5.7570 and 24.8825 Å, with angles of 90.00, 90.00 and 120.00 degrees. The distinct sites, in fractional coordinates, are Pm at (0.0000, 0.0000, 0.2132), Pr at (0.0000, 0.0000, 0.3612), Y at (0.0000, 0.0000, 0.0714) and Er at (0.0000, 0.0000, 0.5000).



(2)
NaTlZnCd2: relaxed, PBE.

The space group is P4/mmm (No. 123) and the conventional cell measures 5.207, 5.207 and 5.341 Å, with angles of 90.00, 90.00 and 90.00 degrees. The distinct sites, in fractional coordinates, are Na at (0.000, 0.000, 0.000), Tl at (0.500, 0.500, 0.000), Zn at (0.500, 0.500, 0.500) and Cd at (0.000, 0.500, 0.500).



(3)
SrCdB2: relaxed, PBE.

The space group is I4_1/amd (No. 141, origin choice 2) and the conventional cell measures 4.430, 4.430 and 15.688 Å, with angles of 90.00, 90.00 and 90.00 degrees. The distinct sites, in fractional coordinates, are Sr at (0.000, 0.250, 0.375), Cd at (0.000, 0.250, 0.875) and B at (0.000, 0.000, 0.000).



(4)
BaSrZrNb2: relaxed, PBE.

The space group is P4/mmm (No. 123) and the conventional cell measures 5.252, 5.252 and 5.403 Å, with angles of 90.00, 90.00 and 90.00 degrees. The distinct sites, in fractional coordinates, are Ba at (0.000, 0.000, 0.000), Sr at (0.500, 0.500, 0.500), Zr at (0.000, 0.000, 0.500) and Nb at (0.000, 0.500, 0.000).



DFT formation energy / eV/atom: 0.120 0.116 0.788 1.842
Total magnetization / μB/cell: 0.0 0.0 0.0 0.0